No. 1
Compound: AcLaTb5Sm2
Source: the Alexandria database
Functional: PBE
Structure: relaxed

Results
Symmetry: I4/mcm (140)
Uncorrected energy: -79.0 eV for the cell shown

POSCAR file:
```
AcLaTb5Sm2
1.0
-0.332 -3.314 8.216
8.682 -1.757 -0.358
-2.598 9.723 -0.966
La Tb Ac Sm
2 10 2 4
Direct
0.250 0.750 0.500
0.750 0.250 0.500
0.500 0.500 0.000
0.332 0.832 0.260
0.168 0.072 0.740
0.072 0.572 0.740
0.928 0.428 0.260
0.832 0.928 0.260
0.428 0.332 0.260
0.000 0.000 0.000
0.572 0.668 0.740
0.668 0.168 0.740
0.250 0.250 0.500
0.750 0.750 0.500
0.882 0.618 0.000
0.618 0.118 0.000
0.382 0.882 0.000
0.118 0.382 0.000
```


No. 2
Compound: Ac2LaTbSm4
Source: the Alexandria database
Functional: PBE
Structure: relaxed

Results
Symmetry: C2/c (15)
Uncorrected energy: -67.1 eV for the cell shown

POSCAR file:
```
Ac2LaTbSm4
1.0
-1.437 -5.172 8.282
9.727 -0.849 1.435
-2.148 6.761 0.767
Sm Ac La Tb
8 4 2 2
Direct
0.761 0.739 0.984
0.239 0.261 0.484
0.239 0.261 0.016
0.761 0.739 0.516
0.227 0.746 0.989
0.246 0.727 0.489
0.773 0.254 0.011
0.754 0.273 0.511
0.500 0.000 0.000
0.000 0.000 0.500
0.500 0.000 0.500
0.500 0.500 0.000
0.000 0.500 0.000
0.000 0.500 0.500
0.500 0.500 0.500
0.000 0.000 0.000
```


No. 3
Compound: AcLaTbSm2
Source: the Alexandria database
Functional: PBE
Structure: relaxed

Results
Symmetry: P2_1/m (11)
Uncorrected energy: -45.8 eV for the cell shown

POSCAR file:
```
AcLaTbSm2
1.0
-3.716 2.697 2.605
-5.864 -3.643 -4.594
-0.575 -6.126 5.523
Tb Sm La Ac
2 4 2 2
Direct
0.750 0.048 0.643
0.250 0.952 0.357
0.750 0.448 0.842
0.250 0.347 0.545
0.250 0.552 0.158
0.750 0.653 0.455
0.750 0.256 0.256
0.250 0.744 0.744
0.750 0.846 0.052
0.250 0.154 0.948
```


No. 4
Compound: AcLaTbSm
Source: the Alexandria database
Functional: PBE
Structure: relaxed

Results
Symmetry: F-43m (216)
Uncorrected energy: -17.9 eV for the cell shown

POSCAR file:
```
AcLaTbSm
1.0
5.940 0.000 0.000
2.970 5.144 0.000
2.970 1.715 4.850
Sm Tb La Ac
1 1 1 1
Direct
0.500 0.500 0.500
0.000 0.000 0.000
0.250 0.250 0.250
0.750 0.750 0.750
```


No. 5
Compound: AcLaTb2Sm5
Source: the Alexandria database
Functional: PBE
Structure: relaxed

Results
Symmetry: Cmc2_1 (36)
Uncorrected energy: -81.2 eV for the cell shown

POSCAR file:
```
AcLaTb2Sm5
1.0
5.656 0.000 0.000
-2.828 12.026 0.000
0.000 0.000 9.550
Sm La Tb Ac
10 2 4 2
Direct
0.602 0.204 0.532
0.398 0.796 0.032
0.258 0.517 0.359
0.994 0.988 0.027
0.742 0.483 0.859
0.525 0.049 0.250
0.006 0.012 0.527
0.311 0.623 0.730
0.475 0.951 0.750
0.689 0.377 0.230
0.765 0.529 0.537
0.235 0.471 0.037
0.112 0.224 0.290
0.888 0.776 0.790
0.169 0.338 0.672
0.831 0.662 0.172
0.603 0.205 0.926
0.397 0.795 0.426
```


No. 6
Compound: AcLa2TbSm
Source: the Alexandria database
Functional: PBE
Structure: relaxed

Results
Symmetry: Cmcm (63)
Uncorrected energy: -43.1 eV for the cell shown

POSCAR file:
```
AcLa2TbSm
1.0
6.599 0.000 0.000
0.000 6.656 0.000
0.000 -3.328 8.759
La Sm Ac Tb
4 2 2 2
Direct
0.000 0.757 0.000
0.500 0.243 0.000
0.000 0.243 0.000
0.500 0.757 0.000
0.750 0.154 0.308
0.250 0.846 0.692
0.750 0.341 0.683
0.250 0.659 0.317
0.750 0.763 0.527
0.250 0.237 0.473
```


| no. | N(E_F) (states/eV/f.u.) | E_form (eV per atom) |
| --- | --- | --- |
| 1 | 10.321 | 0.236 |
| 2 | 18.553 | 0.388 |
| 3 | 8.832 | 0.039 |
| 4 | 7.629 | 0.109 |
| 5 | 10.723 | 0.144 |
| 6 | 7.503 | 0.353 |